Entry 1:
# PBE-GGA Cd2HgPb, relaxed
data_Cd2HgPb
_chemical_formula_sum 'Cd2 Hg1 Pb1'
_cell_length_a 10.376
_cell_length_b 10.376
_cell_length_c 10.376
_cell_angle_alpha 19.16
_cell_angle_beta 19.16
_cell_angle_gamma 19.16
_symmetry_space_group_name_H-M 'P 1'
_symmetry_Int_Tables_number 1
_symmetry_space_group_name_Hall 'P 1'
loop_
_atom_site_label
_atom_site_type_symbol
_atom_site_fract_x
_atom_site_fract_y
_atom_site_fract_z
Pb1 Pb 0.749 0.749 0.749
Cd1 Cd 0.992 0.992 0.992
Cd2 Cd 0.251 0.251 0.251
Hg1 Hg 0.508 0.508 0.508
# - offset from the most stable computed form (meV per atom) = 1.8
# - energy of formation from the pure elements (meV/atom) = 42
# - SG = R3m (160)

Entry 2:
# PBE-GGA Ce3ErTm2As6, relaxed
data_Ce3ErTm2As6
_chemical_formula_sum 'Ce3 Er1 Tm2 As6'
_cell_length_a 7.185
_cell_length_b 7.185
_cell_length_c 7.163
_cell_angle_alpha 99.63
_cell_angle_beta 99.63
_cell_angle_gamma 119.99
_symmetry_space_group_name_H-M 'P 1'
_symmetry_Int_Tables_number 1
_symmetry_space_group_name_Hall 'P 1'
loop_
_atom_site_label
_atom_site_type_symbol
_atom_site_fract_x
_atom_site_fract_y
_atom_site_fract_z
As1 As 0.747 0.747 0.242
As2 As 0.585 0.919 0.758
As3 As 0.253 0.253 0.758
As4 As 0.919 0.585 0.758
As5 As 0.415 0.081 0.242
As6 As 0.081 0.415 0.242
Ce1 Ce 0.166 0.834 0.500
Ce2 Ce 0.834 0.166 0.500
Ce3 Ce 0.500 0.500 0.500
Er1 Er 0.000 0.000 0.000
Tm1 Tm 0.667 0.333 0.000
Tm2 Tm 0.333 0.667 0.000
# - energy of formation from the pure elements (meV/atom) = -1465
# - SG = C2/m (12)

Entry 3:
# PBE-GGA Mo2RhW, relaxed
data_Mo2RhW
_chemical_formula_sum 'Mo2 Rh1 W1'
_cell_length_a 2.702
_cell_length_b 4.047
_cell_length_c 5.716
_cell_angle_alpha 90.00
_cell_angle_beta 90.00
_cell_angle_gamma 90.00
_symmetry_space_group_name_H-M 'P 1'
_symmetry_Int_Tables_number 1
_symmetry_space_group_name_Hall 'P 1'
loop_
_atom_site_label
_atom_site_type_symbol
_atom_site_fract_x
_atom_site_fract_y
_atom_site_fract_z
Mo1 Mo 0.000 0.000 0.001
Mo2 Mo 0.500 0.500 0.256
Rh1 Rh 0.000 0.000 0.502
W1 W 0.500 0.500 0.742
# - offset from the most stable computed form (meV per atom) = 110.9
# - energy of formation from the pure elements (meV/atom) = 121
# - SG = Pmm2 (25)

Which value of energy of formation from the pure elements does entry 3 give? 121 meV/atom